Record 1
Density functional theory data (PBE) for a geometry-optimized TiCrIr structure.

Lattice parameters (Å, degrees): 3.895 2.709 8.207 80.50 90.00 90.00
Atoms (fractional coordinates):
Ir1 0.250 0.128 0.745
Ir2 0.750 0.872 0.255
Ti1 0.250 0.445 0.109
Ti2 0.750 0.555 0.891
Cr1 0.750 0.717 0.566
Cr2 0.250 0.283 0.434

Properties
As for the energy of formation from the pure elements: -0.5 eV/f.u. The volume comes out at 85.4 Å³/cell.

Record 2
Density functional theory data (PBE) for a geometry-optimized TiCrIrW structure.

Lattice parameters (Å, degrees): 4.352 4.352 4.352 60.00 60.00 60.00
Atoms (fractional coordinates):
Cr1 0.000 0.000 0.000
Ir1 0.500 0.500 0.500
W1 0.750 0.750 0.750
Ti1 0.250 0.250 0.250

Properties
As for the energy of formation from the pure elements: -1.0 eV/f.u. The volume comes out at 58.3 Å³/cell.

Record 3
Density functional theory data (PBE) for a geometry-optimized Y2TiCrIr structure.

Lattice parameters (Å, degrees): 5.088 4.253 5.088 90.00 90.00 90.00
Atoms (fractional coordinates):
Y1 0.000 0.000 0.500
Y2 0.500 0.000 0.000
Cr1 0.000 0.000 0.000
Ir1 0.500 0.500 0.500
Ti1 0.000 0.500 0.000

Properties
As for the energy of formation from the pure elements: 2.9 eV/f.u. The volume comes out at 110.1 Å³/cell.